Record 1
CsNaCdHg2 | PBE | optimized geometry

```
data_CsNaCdHg2
_chemical_formula_sum 'Cs1 Na1 Cd1 Hg2'
_cell_length_a 5.861
_cell_length_b 5.861
_cell_length_c 5.850
_cell_angle_alpha 90.00
_cell_angle_beta 90.00
_cell_angle_gamma 90.00
_symmetry_space_group_name_H-M 'P 4/m m m'
_symmetry_Int_Tables_number 123
_symmetry_space_group_name_Hall '-P 4 2'
loop_
_atom_site_label
_atom_site_fract_x
_atom_site_fract_y
_atom_site_fract_z
Cs1 0.000 0.000 0.000
Na1 0.500 0.500 0.000
Cd1 0.500 0.500 0.500
Hg1 0.000 0.500 0.500
```

Calculated values
Fermi-level density of states, states/eV per atom: 0.4418
Uncorrected energy, eV/atom: -0.836
Crystal system: tetragonal
Total magnetic moment, μB/cell: 0.0
Distance to the lowest polymorph of the same formula, eV per atom: 0.085

Record 2
CaPr5Dy4 | PBE | optimized geometry

```
data_CaPr5Dy4
_chemical_formula_sum 'Ca1 Pr5 Dy4'
_cell_length_a 3.659
_cell_length_b 3.659
_cell_length_c 25.914
_cell_angle_alpha 90.00
_cell_angle_beta 90.00
_cell_angle_gamma 90.00
_symmetry_space_group_name_H-M 'P 4/m m m'
_symmetry_Int_Tables_number 123
_symmetry_space_group_name_Hall '-P 4 2'
loop_
_atom_site_label
_atom_site_fract_x
_atom_site_fract_y
_atom_site_fract_z
Ca1 0.000 0.000 0.000
Pr1 0.500 0.500 0.109
Pr2 0.500 0.500 0.304
Pr3 0.500 0.500 0.500
Dy1 0.000 0.000 0.205
Dy2 0.000 0.000 0.402
```

Calculated values
Fermi-level density of states, states/eV per atom: 1.4540
Uncorrected energy, eV/atom: -4.406
Crystal system: tetragonal
Total magnetic moment, μB/cell: 0.0

Record 3
CaAs2 | PBE | optimized geometry

```
data_CaAs2
_chemical_formula_sum 'Ca2 As4'
_cell_length_a 7.780
_cell_length_b 4.466
_cell_length_c 4.210
_cell_angle_alpha 90.00
_cell_angle_beta 90.19
_cell_angle_gamma 90.00
_symmetry_space_group_name_H-M 'C 1 2/m 1'
_symmetry_Int_Tables_number 12
loop_
_symmetry_equiv_pos_as_xyz
'x,y,z'
'-x,-y,-z'
'-x,y,-z'
'x,-y,z'
'x+1/2,y+1/2,z'
'-x+1/2,-y+1/2,-z'
'-x+1/2,y+1/2,-z'
'x+1/2,-y+1/2,z'
loop_
_atom_site_label
_atom_site_fract_x
_atom_site_fract_y
_atom_site_fract_z
Ca1 0.000 0.000 0.000
As1 0.167 0.500 0.561
```

Calculated values
Fermi-level density of states, states/eV per atom: 0.3327
Uncorrected energy, eV/atom: -4.329
Crystal system: monoclinic
Total magnetic moment, μB/cell: 0.0

Record 4
RbTi3Ir | PBE | optimized geometry

```
data_RbTi3Ir
_chemical_formula_sum 'Rb1 Ti3 Ir1'
_cell_length_a 4.960
_cell_length_b 4.960
_cell_length_c 4.960
_cell_angle_alpha 90.00
_cell_angle_beta 90.00
_cell_angle_gamma 90.00
_symmetry_space_group_name_H-M 'P m -3 m'
_symmetry_Int_Tables_number 221
_symmetry_space_group_name_Hall '-P 4 2 3'
loop_
_atom_site_label
_atom_site_fract_x
_atom_site_fract_y
_atom_site_fract_z
Rb1 0.000 0.000 0.000
Ti1 0.000 0.500 0.500
Ir1 0.500 0.500 0.500
```

Calculated values
Fermi-level density of states, states/eV per atom: 1.7692
Uncorrected energy, eV/atom: -6.169
Crystal system: cubic
Total magnetic moment, μB/cell: 0.0
Distance to the lowest polymorph of the same formula, eV per atom: 0.000

Record 5
TmLuTl | PBE | optimized geometry

```
data_TmLuTl
_chemical_formula_sum 'Tm1 Lu1 Tl1'
_cell_length_a 5.1887
_cell_length_b 5.1887
_cell_length_c 3.6319
_cell_angle_alpha 90.00
_cell_angle_beta 90.00
_cell_angle_gamma 120.00
_symmetry_space_group_name_H-M 'P 3 m 1'
_symmetry_Int_Tables_number 156
loop_
_symmetry_equiv_pos_as_xyz
'x,y,z'
'-y,x-y,z'
'-x+y,-x,z'
'-y,-x,z'
'-x+y,y,z'
'x,x-y,z'
loop_
_atom_site_label
_atom_site_fract_x
_atom_site_fract_y
_atom_site_fract_z
Tm1 0.0000 0.0000 0.0000
Lu1 0.6667 0.3333 0.5287
Tl1 0.3333 0.6667 0.3706
```

Calculated values
Fermi-level density of states, states/eV per atom: 1.1938
Uncorrected energy, eV/atom: -3.891
Crystal system: trigonal
Total magnetic moment, μB/cell: 0.0
Distance to the lowest polymorph of the same formula, eV per atom: 0.114

Record 6
Ca2TeN2 | PBE | optimized geometry

```
data_Ca2TeN2
_chemical_formula_sum 'Ca4 Te2 N4'
_cell_length_a 7.368
_cell_length_b 4.066
_cell_length_c 7.396
_cell_angle_alpha 90.00
_cell_angle_beta 111.82
_cell_angle_gamma 90.00
_symmetry_space_group_name_H-M 'C 1 2/m 1'
_symmetry_Int_Tables_number 12
loop_
_symmetry_equiv_pos_as_xyz
'x,y,z'
'-x,-y,-z'
'-x,y,-z'
'x,-y,z'
'x+1/2,y+1/2,z'
'-x+1/2,-y+1/2,-z'
'-x+1/2,y+1/2,-z'
'x+1/2,-y+1/2,z'
loop_
_atom_site_label
_atom_site_fract_x
_atom_site_fract_y
_atom_site_fract_z
Ca1 0.225 0.000 0.210
Te1 0.000 0.000 0.500
N1 0.061 0.500 0.959
```

Calculated values
Fermi-level density of states, states/eV per atom: 0.4677
Uncorrected energy, eV/atom: -5.630
Crystal system: monoclinic
Formation energy from raw total energies, meV/atom: -871
Total magnetic moment, μB/cell: 0.4